Density functional theory data (PBE-GGA) for crystalline GaPS2N at its relaxed geometry.

Summary:
The value obtained for the uncorrected formation energy is 100 kJ/mol of atoms. As for the crystal system: tetragonal. The value obtained for the offset from the most stable computed form is 0.6168 eV/atom.

Unit cell a=4.825 b=4.825 c=3.682 alpha=90.00 beta=90.00 gamma=90.00
Positions (direct):
S1 0.500 0.000 0.000
S2 0.000 0.500 0.000
Ga1 0.000 0.000 0.000
P1 0.500 0.500 0.500
N1 0.000 0.000 0.500